[1]
# MgGaSb GGA-PBE optimized geometry
# - Total energy: -17.8 eV for the cell shown
# - Spin magnetization: 0.00 Bohr magnetons per cell
# - Formation energy (no corrections): -0.05 eV/atom
data_MgGaSb
_chemical_formula_sum 'Mg2 Ga2 Sb2'
_symmetry_space_group_name_H-M 'I 4 m m'
_symmetry_Int_Tables_number 107
_symmetry_space_group_name_Hall 'I 4 -2'
_cell_length_a 3.8925
_cell_length_b 3.8925
_cell_length_c 9.0670
_cell_angle_alpha 90.00
_cell_angle_beta 90.00
_cell_angle_gamma 90.00
loop_
_atom_site_label
_atom_site_fract_x
_atom_site_fract_y
_atom_site_fract_z
Mg1 0.0000 0.0000 0.0000
Ga1 0.0000 0.0000 0.6725
Sb1 0.0000 0.0000 0.3331

---

[2]
# MgGa2Sb2 GGA-PBE optimized geometry
# - Total energy: -31.4 eV for the cell shown
# - Spin magnetization: 0.00 Bohr magnetons per cell
# - Relative energy among the computed polymorphs: 6 meV/atom
# - Formation energy (no corrections): 0.04 eV/atom
data_MgGa2Sb2
_chemical_formula_sum 'Mg2 Ga4 Sb4'
_symmetry_space_group_name_H-M 'P 4/m b m'
_symmetry_Int_Tables_number 127
_symmetry_space_group_name_Hall '-P 4 2ab'
_cell_length_a 7.9101
_cell_length_b 7.9101
_cell_length_c 3.9304
_cell_angle_alpha 90.00
_cell_angle_beta 90.00
_cell_angle_gamma 90.00
loop_
_atom_site_label
_atom_site_fract_x
_atom_site_fract_y
_atom_site_fract_z
Mg1 0.0000 0.0000 0.0000
Ga1 0.1371 0.3629 0.5000
Sb1 0.1608 0.6608 0.0000

---

[3]
# MgGaSb GGA-PBE optimized geometry
# - Total energy: -36.4 eV for the cell shown
# - Spin magnetization: 0.00 Bohr magnetons per cell
# - Formation energy (no corrections): -0.12 eV/atom
data_MgGaSb
_chemical_formula_sum 'Mg4 Ga4 Sb4'
_symmetry_space_group_name_H-M 'F -4 3 m'
_symmetry_Int_Tables_number 216
_symmetry_space_group_name_Hall 'F -4 2 3'
_cell_length_a 6.7733
_cell_length_b 6.7733
_cell_length_c 6.7733
_cell_angle_alpha 90.00
_cell_angle_beta 90.00
_cell_angle_gamma 90.00
loop_
_atom_site_label
_atom_site_fract_x
_atom_site_fract_y
_atom_site_fract_z
Mg1 0.0000 0.0000 0.0000
Ga1 0.2500 0.2500 0.2500
Sb1 0.2500 0.2500 0.7500

---

[4]
# MgGa4Sb GGA-PBE optimized geometry
# - Total energy: -69.9 eV for the cell shown
# - Spin magnetization: 0.00 Bohr magnetons per cell
# - Formation energy (no corrections): 0.06 eV/atom
data_MgGa4Sb
_chemical_formula_sum 'Mg4 Ga16 Sb4'
_symmetry_space_group_name_H-M 'F -4 3 m'
_symmetry_Int_Tables_number 216
_symmetry_space_group_name_Hall 'F -4 2 3'
_cell_length_a 7.9870
_cell_length_b 7.9870
_cell_length_c 7.9870
_cell_angle_alpha 90.00
_cell_angle_beta 90.00
_cell_angle_gamma 90.00
loop_
_atom_site_label
_atom_site_fract_x
_atom_site_fract_y
_atom_site_fract_z
Mg1 0.0000 0.0000 0.0000
Ga1 0.1253 0.1253 0.6253
Sb1 0.2500 0.2500 0.2500

---

[5]
# Mg2Ga2Sb GGA-PBE optimized geometry
# - Total energy: -27.5 eV for the cell shown
# - Spin magnetization: 0.00 Bohr magnetons per cell
# - Relative energy among the computed polymorphs: 0 meV/atom
# - Formation energy (no corrections): -0.08 eV/atom
data_Mg2Ga2Sb
_chemical_formula_sum 'Mg4 Ga4 Sb2'
_symmetry_space_group_name_H-M 'P 4/m b m'
_symmetry_Int_Tables_number 127
_symmetry_space_group_name_Hall '-P 4 2ab'
_cell_length_a 8.1009
_cell_length_b 8.1009
_cell_length_c 3.2512
_cell_angle_alpha 90.00
_cell_angle_beta 90.00
_cell_angle_gamma 90.00
loop_
_atom_site_label
_atom_site_fract_x
_atom_site_fract_y
_atom_site_fract_z
Mg1 0.1835 0.3165 0.0000
Ga1 0.1154 0.6154 0.5000
Sb1 0.0000 0.0000 0.5000

---

[6]
# MgGa2Sb2 GGA-PBE optimized geometry
# - Total energy: -31.4 eV for the cell shown
# - Spin magnetization: 0.00 Bohr magnetons per cell
# - Relative energy among the computed polymorphs: 7 meV/atom
# - Formation energy (no corrections): 0.04 eV/atom
data_MgGa2Sb2
_chemical_formula_sum 'Mg2 Ga4 Sb4'
_symmetry_space_group_name_H-M 'P 4/m b m'
_symmetry_Int_Tables_number 127
_symmetry_space_group_name_Hall '-P 4 2ab'
_cell_length_a 7.7296
_cell_length_b 7.7296
_cell_length_c 3.8861
_cell_angle_alpha 90.00
_cell_angle_beta 90.00
_cell_angle_gamma 90.00
loop_
_atom_site_label
_atom_site_fract_x
_atom_site_fract_y
_atom_site_fract_z
Mg1 0.0000 0.0000 0.0000
Ga1 0.1282 0.3718 0.0000
Sb1 0.1689 0.6689 0.5000

---

[7]
# Mg6GaSb GGA-PBE optimized geometry
# - Total energy: -34.6 eV for the cell shown
# - Spin magnetization: 0.00 Bohr magnetons per cell
# - Relative energy among the computed polymorphs: 3 meV/atom
# - Formation energy (no corrections): -0.07 eV/atom
data_Mg6GaSb
_chemical_formula_sum 'Mg12 Ga2 Sb2'
_symmetry_space_group_name_H-M 'A m m 2'
_symmetry_Int_Tables_number 38
_cell_length_a 4.9966
_cell_length_b 6.3978
_cell_length_c 11.1868
_cell_angle_alpha 90.00
_cell_angle_beta 90.00
_cell_angle_gamma 90.00
loop_
_symmetry_equiv_pos_as_xyz
'x,y,z'
'-x,-y,z'
'-x,y,z'
'x,-y,z'
'x,y+1/2,z+1/2'
'-x,-y+1/2,z+1/2'
'-x,y+1/2,z+1/2'
'x,-y+1/2,z+1/2'
loop_
_atom_site_label
_atom_site_fract_x
_atom_site_fract_y
_atom_site_fract_z
Mg1 0.0000 0.0000 0.0000
Mg2 0.0000 0.0000 0.4940
Mg3 0.0000 0.2367 0.2485
Mg4 0.5000 0.2488 0.9149
Ga1 0.5000 0.0000 0.1595
Sb1 0.5000 0.0000 0.6667

---

[8]
# MgGaSb GGA-PBE optimized geometry
# - Total energy: -8.8 eV for the cell shown
# - Spin magnetization: 0.00 Bohr magnetons per cell
# - Formation energy (no corrections): -0.01 eV/atom
data_MgGaSb
_chemical_formula_sum 'Mg1 Ga1 Sb1'
_symmetry_space_group_name_H-M 'P 3 m 1'
_symmetry_Int_Tables_number 156
_cell_length_a 4.7168
_cell_length_b 4.7168
_cell_length_c 3.7152
_cell_angle_alpha 90.00
_cell_angle_beta 90.00
_cell_angle_gamma 120.00
loop_
_symmetry_equiv_pos_as_xyz
'x,y,z'
'-y,x-y,z'
'-x+y,-x,z'
'-y,-x,z'
'-x+y,y,z'
'x,x-y,z'
loop_
_atom_site_label
_atom_site_fract_x
_atom_site_fract_y
_atom_site_fract_z
Mg1 0.0000 0.0000 0.0000
Ga1 0.3333 0.6667 0.3007
Sb1 0.6667 0.3333 0.6554